(1)
Below is an optimized crystal structure of AlRePbO2, with properties calculated at the PBE level.

The density of states at the Fermi level is 3.05 states/eV per cell. The crystal system is tetragonal.

The structure in POSCAR format:
```
AlRePbO2
1.0
3.871 0.000 0.000
0.000 6.104 0.000
0.000 0.000 3.871
Pb Re Al O
1 1 1 2
Cartesian
0.000 3.052 0.000
0.000 0.000 0.000
1.936 3.052 1.936
0.000 0.000 1.936
1.936 0.000 0.000
```

***

(2)
Below is an optimized crystal structure of AlRePbO6, with properties calculated at the PBE level.

The crystal system is trigonal.

The structure in POSCAR format:
```
AlRePbO6
1.0
-0.723 1.669 -4.781
-1.539 -3.249 -3.638
-5.125 1.121 1.166
Al Re Pb O
1 1 1 6
Cartesian
-4.071 -0.493 -5.029
-3.316 0.033 -2.223
-5.846 2.790 -3.614
-2.141 -0.911 -1.063
-3.861 1.419 -1.038
-4.615 0.551 -3.513
-4.522 -1.201 -1.423
-2.767 -1.007 -3.718
-1.992 1.351 -2.582
```

***

no.,formation energy without anion corrections (eV/atom)
1,-0.4431
2,-1.8667